## P
Here is a relaxed Dy6YHo crystal from Alexandria. Energies are from GGA-PBE.

a b c (Å): 5.0133 5.0133 10.0275
angles (deg): 90.00 90.00 90.00
Positions (direct):
Dy: 0.0000 0.0000 0.0000
Dy: 0.0000 0.0000 0.5000
Dy: 0.0000 0.5000 0.2488
Dy: 0.0000 0.5000 0.7512
Dy: 0.5000 0.0000 0.2488
Dy: 0.5000 0.0000 0.7512
Y: 0.5000 0.5000 0.5000
Ho: 0.5000 0.5000 0.0000

## Properties
Calculated volume   252.0 Å³/cell
Space group   No. 123

=====

## Q
Here is a relaxed Dy6YHo crystal from Alexandria. Energies are from GGA-PBE.

a b c (Å): 6.5402 6.7197 6.9017
angles (deg): 118.79 103.17 90.36
Positions (direct):
Dy: 0.2283 0.4046 0.4763
Dy: 0.2494 0.9511 0.9999
Dy: 0.2689 0.9257 0.5201
Dy: 0.7311 0.0743 0.4799
Dy: 0.7506 0.0489 0.0001
Dy: 0.7717 0.5954 0.5237
Y: 0.5000 0.5000 0.0000
Ho: 0.0000 0.5000 0.0000

## Properties
Calculated volume   256.4 Å³/cell
Space group   No. 2

=====

Of them, Q has the lowest stability.